[1]
Entry from Alexandria via LeMat-Bulk: a geometry-optimized ThGaSi2Ir5 structure (GGA-PBE).

Electronic total energy   -7.766 eV per atom
Spin magnetization   0.000 μB per atom
Space group   P4/mmm (123)
Formation energy without anion corrections   -477 meV per atom
Calculated volume   167 Å³ per cell

Unit cell a=4.084 b=4.084 c=9.993 alpha=90.00 beta=90.00 gamma=90.00
Sites, in units of the cell vectors:
Ga1 0.000 0.000 0.000
Si1 0.500 0.500 0.734
Si2 0.500 0.500 0.266
Ir1 0.000 0.500 0.153
Th1 0.000 0.000 0.500
Ir2 0.500 0.500 0.500
Ir3 0.500 0.000 0.847
Ir4 0.000 0.500 0.847
Ir5 0.500 0.000 0.153


[2]
Entry from Alexandria via LeMat-Bulk: a geometry-optimized TiGaSiIr2 structure (GGA-PBE).

Electronic total energy   -5.806 eV per atom
Spin magnetization   0.001 μB per atom
Space group   P4/mmm (123)
Formation energy without anion corrections   1007 meV per atom
Calculated volume   95 Å³ per cell

Unit cell a=4.514 b=4.663 c=4.514 alpha=90.00 beta=90.00 gamma=90.00
Sites, in units of the cell vectors:
Ir1 0.500 0.000 0.000
Ti1 0.000 0.500 0.000
Si1 0.500 0.500 0.500
Ir2 0.000 0.000 0.500
Ga1 0.000 0.000 0.000


[3]
Entry from Alexandria via LeMat-Bulk: a geometry-optimized TmGaSi2Ir5 structure (GGA-PBE).

Electronic total energy   -7.320 eV per atom
Spin magnetization   0.000 μB per atom
Space group   P4/mmm (123)
Formation energy without anion corrections   -359 meV per atom
Calculated volume   164 Å³ per cell

Unit cell a=3.994 b=3.994 c=10.309 alpha=90.00 beta=90.00 gamma=90.00
Sites, in units of the cell vectors:
Ir1 0.500 0.000 0.153
Ir2 0.000 0.500 0.847
Si1 0.500 0.500 0.275
Tm1 0.000 0.000 0.500
Ga1 0.000 0.000 0.000
Si2 0.500 0.500 0.725
Ir3 0.000 0.500 0.153
Ir4 0.500 0.500 0.500
Ir5 0.500 0.000 0.847


[4]
Entry from Alexandria via LeMat-Bulk: a geometry-optimized Tm2GaSi2Ir5 structure (GGA-PBE).

Electronic total energy   -7.580 eV per atom
Spin magnetization   0.000 μB per atom
Space group   P4/mbm (127)
Formation energy without anion corrections   -868 meV per atom
Calculated volume   324 Å³ per cell

Unit cell a=3.511 b=9.601 c=9.601 alpha=90.00 beta=90.00 gamma=90.00
Sites, in units of the cell vectors:
Tm1 0.000 0.174 0.326
Ir1 0.500 0.932 0.210
Si1 0.000 0.375 0.125
Si2 0.000 0.125 0.625
Ir2 0.500 0.710 0.432
Tm2 0.000 0.326 0.826
Si3 0.000 0.625 0.875
Ir3 0.500 0.290 0.568
Ir4 0.500 0.000 0.500
Tm3 0.000 0.826 0.674
Ga1 0.000 0.500 0.500
Ir5 0.500 0.790 0.932
Si4 0.000 0.875 0.375
Ir6 0.500 0.568 0.710
Ir7 0.500 0.500 0.000
Ir8 0.500 0.210 0.068
Ga2 0.000 0.000 0.000
Ir9 0.500 0.068 0.790
Ir10 0.500 0.432 0.290
Tm4 0.000 0.674 0.174


[5]
Entry from Alexandria via LeMat-Bulk: a geometry-optimized U2GaSi2Ir5 structure (GGA-PBE).

Electronic total energy   -8.538 eV per atom
Spin magnetization   0.417 μB per atom
Space group   P4/mbm (127)
Formation energy without anion corrections   -463 meV per atom
Calculated volume   335 Å³ per cell

Unit cell a=3.640 b=9.591 c=9.591 alpha=90.00 beta=90.00 gamma=90.00
Site moments in Bohr magnetons follow the coordinates.
Sites, in units of the cell vectors:
U1 0.000 0.321 0.821  2.01
Ir1 0.500 0.000 0.500  -0.06
Ir2 0.500 0.933 0.210  -0.04
Ir3 0.500 0.790 0.933  -0.04
U2 0.000 0.821 0.679  2.01
Ir4 0.500 0.290 0.567  -0.04
Si1 0.000 0.878 0.378  0.02
Ir5 0.500 0.567 0.710  -0.04
U3 0.000 0.679 0.179  2.01
Si2 0.000 0.622 0.878  0.02
Ir6 0.500 0.500 0.000  -0.06
Si3 0.000 0.122 0.622  0.02
Ir7 0.500 0.710 0.433  -0.04
Ir8 0.500 0.433 0.290  -0.04
Ir9 0.500 0.067 0.790  -0.04
Ga1 0.000 0.500 0.500  -0.01
Ir10 0.500 0.210 0.067  -0.04
U4 0.000 0.179 0.321  2.01
Ga2 0.000 0.000 0.000  -0.01
Si4 0.000 0.378 0.122  0.02


[6]
Entry from Alexandria via LeMat-Bulk: a geometry-optimized VGaSi2Ir structure (GGA-PBE).

Electronic total energy   -5.660 eV per atom
Spin magnetization   0.000 μB per atom
Space group   P4/mmm (123)
Formation energy without anion corrections   711 meV per atom
Calculated volume   97 Å³ per cell

Unit cell a=4.597 b=4.583 c=4.597 alpha=90.00 beta=90.00 gamma=90.00
Sites, in units of the cell vectors:
Ga1 0.500 0.500 0.500
Si1 0.000 0.000 0.500
Ir1 0.000 0.500 0.000
V1 0.000 0.000 0.000
Si2 0.500 0.000 0.000


[7]
Entry from Alexandria via LeMat-Bulk: a geometry-optimized Y2GaSi3Ir4 structure (GGA-PBE).

Electronic total energy   -7.759 eV per atom
Spin magnetization   0.000 μB per atom
Space group   P-4m2 (115)
Formation energy without anion corrections   -992 meV per atom
Calculated volume   172 Å³ per cell

Unit cell a=4.146 b=4.146 c=9.985 alpha=90.00 beta=90.00 gamma=90.00
Sites, in units of the cell vectors:
Ir1 0.500 0.500 0.000
Y1 0.000 0.500 0.749
Y2 0.500 0.000 0.251
Si1 0.000 0.000 0.500
Si2 0.500 0.000 0.871
Ir2 0.500 0.000 0.636
Ir3 0.000 0.000 0.000
Ga1 0.500 0.500 0.500
Ir4 0.000 0.500 0.364
Si3 0.000 0.500 0.129


[8]
Entry from Alexandria via LeMat-Bulk: a geometry-optimized Y2GaSi2Ir5 structure (GGA-PBE).

Electronic total energy   -7.933 eV per atom
Spin magnetization   0.000 μB per atom
Space group   P4/mbm (127)
Formation energy without anion corrections   -823 meV per atom
Calculated volume   330 Å³ per cell

Unit cell a=3.523 b=9.676 c=9.676 alpha=90.00 beta=90.00 gamma=90.00
Sites, in units of the cell vectors:
Y1 0.000 0.675 0.175
Ga1 0.000 0.500 0.500
Ir1 0.500 0.933 0.210
Ir2 0.500 0.067 0.790
Y2 0.000 0.825 0.675
Ir3 0.500 0.433 0.290
Y3 0.000 0.175 0.325
Si1 0.000 0.875 0.375
Ir4 0.500 0.500 0.000
Ir5 0.500 0.210 0.067
Ir6 0.500 0.710 0.433
Si2 0.000 0.375 0.125
Si3 0.000 0.625 0.875
Ir7 0.500 0.290 0.567
Y4 0.000 0.325 0.825
Ir8 0.500 0.790 0.933
Ga2 0.000 0.000 0.000
Ir9 0.500 0.000 0.500
Si4 0.000 0.125 0.625
Ir10 0.500 0.567 0.710


[9]
Entry from Alexandria via LeMat-Bulk: a geometry-optimized Y2GaSi4Ir3 structure (GGA-PBE).

Electronic total energy   -7.299 eV per atom
Spin magnetization   0.000 μB per atom
Space group   P-4m2 (115)
Formation energy without anion corrections   -876 meV per atom
Calculated volume   172 Å³ per cell

Unit cell a=4.117 b=4.117 c=10.130 alpha=90.00 beta=90.00 gamma=90.00
Sites, in units of the cell vectors:
Ir1 0.500 0.000 0.876
Si1 0.500 0.000 0.644
Ir2 0.000 0.000 0.500
Si2 0.000 0.500 0.356
Ir3 0.000 0.500 0.124
Si3 0.500 0.500 0.000
Si4 0.000 0.000 0.000
Ga1 0.500 0.500 0.500
Y1 0.000 0.500 0.757
Y2 0.500 0.000 0.243


[10]
Entry from Alexandria via LeMat-Bulk: a geometry-optimized SmGa9Ir2 structure (GGA-PBE).

Electronic total energy   -4.440 eV per atom
Spin magnetization   0.000 μB per atom
Space group   I4_1/amd (141)
Calculated volume   418 Å³ per cell
Formation energy   -300 meV/atom

Unit cell a=6.769 b=8.555 c=8.555 alpha=80.99 beta=66.69 gamma=66.69
Sites, in units of the cell vectors:
Ir1 0.875 0.750 0.250
Ir2 0.875 0.250 0.250
Ga1 0.086 0.928 0.309
Sm1 0.500 0.000 0.000
Ga2 0.000 0.000 0.000
Ga3 0.764 0.809 0.572
Ga4 0.145 0.191 0.428
Ir3 0.375 0.750 0.750
Ga5 0.323 0.072 0.691
Ga6 0.605 0.072 0.309
Ga7 0.145 0.428 0.191
Ga8 0.750 0.500 0.500
Ga9 0.427 0.428 0.809
Ga10 0.427 0.809 0.428
Ga11 0.664 0.572 0.191
Ga12 0.605 0.309 0.072
Ga13 0.986 0.928 0.691
Ga14 0.664 0.191 0.572
Ga15 0.086 0.309 0.928
Ga16 0.986 0.691 0.928
Ga17 0.764 0.572 0.809
Sm2 0.250 0.500 0.500
Ga18 0.323 0.691 0.072
Ir4 0.875 0.250 0.750


[11]
Entry from Alexandria via LeMat-Bulk: a geometry-optimized SmGaIr structure (GGA-PBE).

Electronic total energy   -6.057 eV per atom
Spin magnetization   0.000 μB per atom
Space group   I4mm (107)
Calculated volume   59 Å³ per cell
Formation energy   -522 meV/atom

Unit cell a=3.268 b=3.268 c=5.977 alpha=105.87 beta=105.87 gamma=90.00
Sites, in units of the cell vectors:
Sm1 0.008 0.008 0.016
Ga1 0.303 0.303 0.605
Ir1 0.689 0.689 0.378


[12]
Entry from Alexandria via LeMat-Bulk: a geometry-optimized Sm2Ga9Ir6 structure (GGA-PBE).

Electronic total energy   -5.688 eV per atom
Spin magnetization   0.000 μB per atom
Space group   P6/mmm (191)
Calculated volume   319 Å³ per cell
Formation energy   -403 meV/atom

Unit cell a=5.493 b=5.493 c=12.213 alpha=90.00 beta=90.00 gamma=120.00
Sites, in units of the cell vectors:
Ga1 0.000 0.500 0.161
Ga2 0.500 0.500 0.839
Sm1 0.000 0.000 0.337
Ir1 0.333 0.667 0.328
Ir2 0.333 0.667 0.672
Ga3 0.500 0.000 0.161
Ir3 0.667 0.333 0.672
Ga4 0.000 0.500 0.500
Ga5 0.500 0.000 0.839
Ir4 0.667 0.333 0.328
Ir5 0.667 0.333 0.000
Ga6 0.500 0.000 0.500
Ga7 0.500 0.500 0.161
Sm2 0.000 0.000 0.663
Ga8 0.500 0.500 0.500
Ga9 0.000 0.500 0.839
Ir6 0.333 0.667 0.000


[13]
Entry from Alexandria via LeMat-Bulk: a geometry-optimized Sm4Ga12Ir structure (GGA-PBE).

Electronic total energy   -4.387 eV per atom
Spin magnetization   0.000 μB per atom
Space group   Im-3m (229)
Calculated volume   331 Å³ per cell
Formation energy   -619 meV/atom

Unit cell a=7.546 b=7.546 c=7.546 alpha=109.47 beta=109.47 gamma=109.47
Sites, in units of the cell vectors:
Ga1 0.500 0.750 0.250
Ga2 0.750 0.500 0.250
Ga3 0.500 0.250 0.750
Ga4 0.250 0.750 0.500
Ga5 0.708 0.000 0.708
Ga6 0.000 0.292 0.292
Sm1 0.500 0.000 0.000
Ir1 0.000 0.000 0.000
Ga7 0.292 0.000 0.292
Sm2 0.500 0.500 0.500
Ga8 0.250 0.500 0.750
Ga9 0.292 0.292 0.000
Sm3 0.000 0.500 0.000
Ga10 0.708 0.708 0.000
Ga11 0.000 0.708 0.708
Ga12 0.750 0.250 0.500
Sm4 0.000 0.000 0.500


[14]
Entry from Alexandria via LeMat-Bulk: a geometry-optimized SmGa3Ir2 structure (GGA-PBE).

Electronic total energy   -5.890 eV per atom
Spin magnetization   0.000 μB per atom
Space group   C2/m (12)
Calculated volume   324 Å³ per cell
Formation energy   -636 meV/atom

Unit cell a=4.039 b=8.399 c=10.231 alpha=105.24 beta=90.00 gamma=103.91
Sites, in units of the cell vectors:
Ga1 0.361 0.722 0.070
Ir1 0.332 0.664 0.556
Ga2 0.774 0.548 0.670
Ga3 0.639 0.278 0.930
Ga4 0.067 0.133 0.377
Ir2 0.792 0.584 0.925
Ir3 0.500 0.001 0.244
Ir4 0.500 0.999 0.756
Sm1 0.139 0.279 0.706
Ga5 0.500 0.000 0.500
Ga6 0.933 0.867 0.623
Ga7 0.226 0.452 0.330
Sm2 0.000 0.000 0.000
Ir5 0.208 0.416 0.075
Ga8 0.359 0.717 0.821
Ga9 0.641 0.283 0.179
Ir6 0.668 0.336 0.444
Sm3 0.861 0.721 0.294


[15]
Entry from Alexandria via LeMat-Bulk: a geometry-optimized Sm6Ga3Ir structure (GGA-PBE).

Electronic total energy   -5.093 eV per atom
Spin magnetization   0.000 μB per atom
Space group   Pnnm (58)
Calculated volume   531 Å³ per cell
Formation energy   -467 meV/atom

Unit cell a=5.134 b=8.817 c=11.733 alpha=90.00 beta=90.00 gamma=90.00
Sites, in units of the cell vectors:
Sm1 0.000 0.342 0.414
Ir1 0.000 0.000 0.000
Ga1 0.000 0.660 0.231
Sm2 0.000 0.319 0.080
Sm3 0.000 0.658 0.586
Ga2 0.500 0.160 0.269
Sm4 0.500 0.181 0.580
Sm5 0.500 0.504 0.747
Ir2 0.500 0.500 0.500
Sm6 0.000 0.004 0.753
Ga3 0.000 0.340 0.769
Sm7 0.000 0.681 0.920
Sm8 0.500 0.819 0.420
Sm9 0.500 0.496 0.253
Ga4 0.000 0.000 0.500
Sm10 0.000 0.996 0.247
Sm11 0.500 0.842 0.086
Ga5 0.500 0.840 0.731
Sm12 0.500 0.158 0.914
Ga6 0.500 0.500 0.000


[16]
Entry from Alexandria via LeMat-Bulk: a geometry-optimized Sm2Ga5Ir structure (GGA-PBE).

Electronic total energy   -4.691 eV per atom
Spin magnetization   0.000 μB per atom
Space group   I4mm (107)
Calculated volume   168 Å³ per cell
Formation energy   -512 meV/atom

Unit cell a=6.215 b=6.215 c=6.215 alpha=88.83 beta=120.68 gamma=120.68
Sites, in units of the cell vectors:
Sm1 0.500 0.245 0.745
Ga1 0.000 0.280 0.707
Ga2 0.573 0.280 0.280
Ga3 0.000 0.707 0.280
Ga4 0.000 0.267 0.267
Ga5 0.427 0.707 0.707
Ir1 0.000 0.992 0.992
Sm2 0.500 0.745 0.245


[17]
Entry from Alexandria via LeMat-Bulk: a geometry-optimized Sm12Ga6Ir structure (GGA-PBE).

Electronic total energy   -4.661 eV per atom
Spin magnetization   0.000 μB per atom
Space group   R-3 (148)
Calculated volume   600 Å³ per cell
Formation energy   -258 meV/atom

Unit cell a=8.568 b=8.568 c=8.568 alpha=99.49 beta=99.49 gamma=99.49
Sites, in units of the cell vectors:
Ga1 0.864 0.376 0.699
Sm1 0.430 0.568 0.181
Sm2 0.432 0.819 0.570
Ga2 0.136 0.624 0.301
Sm3 0.069 0.961 0.318
Ga3 0.301 0.136 0.624
Ga4 0.699 0.864 0.376
Sm4 0.682 0.931 0.039
Sm5 0.819 0.570 0.432
Sm6 0.318 0.069 0.961
Sm7 0.961 0.318 0.069
Sm8 0.181 0.430 0.568
Sm9 0.570 0.432 0.819
Sm10 0.568 0.181 0.430
Sm11 0.931 0.039 0.682
Ir1 0.000 0.000 0.000
Sm12 0.039 0.682 0.931
Ga5 0.376 0.699 0.864
Ga6 0.624 0.301 0.136


[18]
Entry from Alexandria via LeMat-Bulk: a geometry-optimized SmGa2Ir structure (GGA-PBE).

Electronic total energy   -5.590 eV per atom
Spin magnetization   0.000 μB per atom
Space group   Immm (71)
Calculated volume   322 Å³ per cell
Formation energy   -682 meV/atom

Unit cell a=4.367 b=9.342 c=9.426 alpha=119.71 beta=103.39 gamma=90.00
Sites, in units of the cell vectors:
Ir1 0.856 0.111 0.711
Ir2 0.856 0.601 0.711
Sm1 0.707 0.707 0.413
Ir3 0.144 0.399 0.289
Ga1 0.304 0.958 0.608
Ga2 0.914 0.914 0.828
Ga3 0.923 0.423 0.845
Ir4 0.144 0.889 0.289
Sm2 0.293 0.293 0.587
Ga4 0.304 0.650 0.608
Sm3 0.500 0.740 0.000
Ga5 0.696 0.042 0.392
Ga6 0.696 0.350 0.392
Ga7 0.077 0.577 0.155
Sm4 0.500 0.260 0.000
Ga8 0.086 0.086 0.172


[19]
Entry from Alexandria via LeMat-Bulk: a geometry-optimized Sm4Ga3Ir structure (GGA-PBE).

Electronic total energy   -5.241 eV per atom
Spin magnetization   0.000 μB per atom
Space group   Pmm2 (25)
Calculated volume   197 Å³ per cell
Formation energy   -639 meV/atom

Unit cell a=4.286 b=4.264 c=10.802 alpha=90.00 beta=90.00 gamma=90.00
Sites, in units of the cell vectors:
Ga1 0.000 0.000 0.427
Sm1 0.000 0.000 0.138
Sm2 0.000 0.500 0.868
Ga2 0.000 0.500 0.574
Sm3 0.500 0.500 0.346
Sm4 0.500 0.000 0.644
Ga3 0.500 0.000 0.930
Ir1 0.500 0.500 0.073